--- 1 ---
Density functional theory data (PBE-GGA) for a geometry-optimized InPtIN2 structure. Values from VASP.

Output
Its symmetry is P4/mmm, No. 123.

```
&SYSTEM
  ibrav = 0, nat = 5, ntyp = 4
/
ATOMIC_SPECIES
In 114.82 In.upf
Pt 195.08 Pt.upf
I 126.90 I.upf
N 14.01 N.upf
CELL_PARAMETERS angstrom
4.1228 0.0000 0.0000
0.0000 4.1228 0.0000
0.0000 0.0000 6.8464
ATOMIC_POSITIONS crystal
In 0.0000 0.0000 0.0000
Pt 0.5000 0.5000 0.5000
I 0.0000 0.0000 0.5000
N 0.0000 0.5000 0.0000
N 0.5000 0.0000 0.0000
```

---

--- 2 ---
Density functional theory data (PBE-GGA) for a geometry-optimized InPtIN2 structure. Values from VASP.

Output
Its symmetry is P4/mmm, No. 123.

```
&SYSTEM
  ibrav = 0, nat = 5, ntyp = 4
/
ATOMIC_SPECIES
In 114.82 In.upf
Pt 195.08 Pt.upf
I 126.90 I.upf
N 14.01 N.upf
CELL_PARAMETERS angstrom
4.0764 0.0000 0.0000
0.0000 4.0764 0.0000
0.0000 0.0000 7.7181
ATOMIC_POSITIONS crystal
In 0.0000 0.0000 0.0000
Pt 0.5000 0.5000 0.5000
I 0.5000 0.5000 0.0000
N 0.0000 0.5000 0.5000
N 0.5000 0.0000 0.5000
```

---

Which is most stable? The ranking, best first, is 2, 1.

---

--- 1 ---
Density functional theory data (PBE-GGA) for a geometry-optimized RbInI2N structure. Values from VASP.

Output
Its symmetry is P4/mmm, No. 123.

```
&SYSTEM
  ibrav = 0, nat = 5, ntyp = 4
/
ATOMIC_SPECIES
Rb 85.47 Rb.upf
In 114.82 In.upf
I 126.90 I.upf
N 14.01 N.upf
CELL_PARAMETERS angstrom
6.2818 0.0000 0.0000
0.0000 6.2818 0.0000
0.0000 0.0000 4.3306
ATOMIC_POSITIONS crystal
Rb 0.0000 0.0000 0.0000
In 0.5000 0.5000 0.5000
I 0.0000 0.5000 0.5000
I 0.5000 0.0000 0.5000
N 0.5000 0.5000 0.0000
```

---

--- 2 ---
Density functional theory data (PBE-GGA) for a geometry-optimized RbInI2N structure. Values from VASP.

Output
Its symmetry is P4/mmm, No. 123.

```
&SYSTEM
  ibrav = 0, nat = 5, ntyp = 4
/
ATOMIC_SPECIES
Rb 85.47 Rb.upf
In 114.82 In.upf
I 126.90 I.upf
N 14.01 N.upf
CELL_PARAMETERS angstrom
7.0317 0.0000 0.0000
0.0000 7.0317 0.0000
0.0000 0.0000 5.4433
ATOMIC_POSITIONS crystal
Rb 0.0000 0.0000 0.0000
In 0.5000 0.5000 0.5000
I 0.0000 0.5000 0.0000
I 0.5000 0.0000 0.0000
N 0.0000 0.0000 0.5000
```

---

Which is most stable? The ranking, best first, is 1, 2.

---

--- 1 ---
Density functional theory data (PBE-GGA) for a geometry-optimized RbInIN2 structure. Values from VASP.

Output
Its symmetry is P4/mmm, No. 123.

```
&SYSTEM
  ibrav = 0, nat = 5, ntyp = 4
/
ATOMIC_SPECIES
Rb 85.47 Rb.upf
In 114.82 In.upf
I 126.90 I.upf
N 14.01 N.upf
CELL_PARAMETERS angstrom
4.7901 0.0000 0.0000
0.0000 4.7901 0.0000
0.0000 0.0000 6.2649
ATOMIC_POSITIONS crystal
Rb 0.0000 0.0000 0.0000
In 0.5000 0.5000 0.5000
I 0.5000 0.5000 0.0000
N 0.0000 0.5000 0.5000
N 0.5000 0.0000 0.5000
```

---

--- 2 ---
Density functional theory data (PBE-GGA) for a geometry-optimized RbInIN2 structure. Values from VASP.

Output
Its symmetry is P4/mmm, No. 123.

```
&SYSTEM
  ibrav = 0, nat = 5, ntyp = 4
/
ATOMIC_SPECIES
Rb 85.47 Rb.upf
In 114.82 In.upf
I 126.90 I.upf
N 14.01 N.upf
CELL_PARAMETERS angstrom
5.4835 0.0000 0.0000
0.0000 5.4835 0.0000
0.0000 0.0000 7.3929
ATOMIC_POSITIONS crystal
Rb 0.0000 0.0000 0.0000
In 0.5000 0.5000 0.5000
I 0.0000 0.0000 0.5000
N 0.0000 0.5000 0.0000
N 0.5000 0.0000 0.0000
```

---

Which is most stable? The ranking, best first, is 1, 2.

---

--- 1 ---
Density functional theory data (PBE-GGA) for a geometry-optimized InReIN2 structure. Values from VASP.

Output
Its symmetry is P4/mmm, No. 123.

```
&SYSTEM
  ibrav = 0, nat = 5, ntyp = 4
/
ATOMIC_SPECIES
In 114.82 In.upf
Re 186.21 Re.upf
I 126.90 I.upf
N 14.01 N.upf
CELL_PARAMETERS angstrom
4.1627 0.0000 0.0000
0.0000 4.1627 0.0000
0.0000 0.0000 6.7004
ATOMIC_POSITIONS crystal
In 0.0000 0.0000 0.0000
Re 0.5000 0.5000 0.5000
I 0.0000 0.0000 0.5000
N 0.0000 0.5000 0.0000
N 0.5000 0.0000 0.0000
```

---

--- 2 ---
Density functional theory data (PBE-GGA) for a geometry-optimized InReIN2 structure. Values from VASP.

Output
Its symmetry is P4/mmm, No. 123.

```
&SYSTEM
  ibrav = 0, nat = 5, ntyp = 4
/
ATOMIC_SPECIES
In 114.82 In.upf
Re 186.21 Re.upf
I 126.90 I.upf
N 14.01 N.upf
CELL_PARAMETERS angstrom
4.0485 0.0000 0.0000
0.0000 4.0485 0.0000
0.0000 0.0000 5.7184
ATOMIC_POSITIONS crystal
In 0.0000 0.0000 0.0000
Re 0.5000 0.5000 0.5000
I 0.5000 0.5000 0.0000
N 0.0000 0.5000 0.5000
N 0.5000 0.0000 0.5000
```

---

Which is most stable? The ranking, best first, is 2, 1.

---

--- 1 ---
Density functional theory data (PBE-GGA) for a geometry-optimized InRhI2N structure. Values from VASP.

Output
Its symmetry is P4/mmm, No. 123.

```
&SYSTEM
  ibrav = 0, nat = 5, ntyp = 4
/
ATOMIC_SPECIES
In 114.82 In.upf
Rh 102.91 Rh.upf
I 126.90 I.upf
N 14.01 N.upf
CELL_PARAMETERS angstrom
5.9771 0.0000 0.0000
0.0000 5.9771 0.0000
0.0000 0.0000 4.0086
ATOMIC_POSITIONS crystal
In 0.0000 0.0000 0.0000
Rh 0.5000 0.5000 0.5000
I 0.0000 0.5000 0.0000
I 0.5000 0.0000 0.0000
N 0.0000 0.0000 0.5000
```

---

--- 2 ---
Density functional theory data (PBE-GGA) for a geometry-optimized InRhI2N structure. Values from VASP.

Output
Its symmetry is P4/mmm, No. 123.

```
&SYSTEM
  ibrav = 0, nat = 5, ntyp = 4
/
ATOMIC_SPECIES
In 114.82 In.upf
Rh 102.91 Rh.upf
I 126.90 I.upf
N 14.01 N.upf
CELL_PARAMETERS angstrom
5.8648 0.0000 0.0000
0.0000 5.8648 0.0000
0.0000 0.0000 3.7445
ATOMIC_POSITIONS crystal
In 0.0000 0.0000 0.0000
Rh 0.5000 0.5000 0.5000
I 0.0000 0.5000 0.5000
I 0.5000 0.0000 0.5000
N 0.5000 0.5000 0.0000
```

---

Which is most stable? The ranking, best first, is 2, 1.

---

--- 1 ---
Density functional theory data (PBE-GGA) for a geometry-optimized InRhIN2 structure. Values from VASP.

Output
Its symmetry is P4/mmm, No. 123.

```
&SYSTEM
  ibrav = 0, nat = 5, ntyp = 4
/
ATOMIC_SPECIES
In 114.82 In.upf
Rh 102.91 Rh.upf
I 126.90 I.upf
N 14.01 N.upf
CELL_PARAMETERS angstrom
4.1473 0.0000 0.0000
0.0000 4.1473 0.0000
0.0000 0.0000 6.5078
ATOMIC_POSITIONS crystal
In 0.0000 0.0000 0.0000
Rh 0.5000 0.5000 0.5000
I 0.0000 0.0000 0.5000
N 0.0000 0.5000 0.0000
N 0.5000 0.0000 0.0000
```

---

--- 2 ---
Density functional theory data (PBE-GGA) for a geometry-optimized InRhIN2 structure. Values from VASP.

Output
Its symmetry is P4/mmm, No. 123.

```
&SYSTEM
  ibrav = 0, nat = 5, ntyp = 4
/
ATOMIC_SPECIES
In 114.82 In.upf
Rh 102.91 Rh.upf
I 126.90 I.upf
N 14.01 N.upf
CELL_PARAMETERS angstrom
4.1467 0.0000 0.0000
0.0000 4.1467 0.0000
0.0000 0.0000 5.7138
ATOMIC_POSITIONS crystal
In 0.0000 0.0000 0.0000
Rh 0.5000 0.5000 0.5000
I 0.5000 0.5000 0.0000
N 0.0000 0.5000 0.5000
N 0.5000 0.0000 0.5000
```

---

Which is most stable? The ranking, best first, is 2, 1.